DFT (PBE) results for CeNd3Er12 after structural relaxation.

```
data_CeNd3Er12
_chemical_formula_sum 'Ce1 Nd3 Er12'
_cell_length_a 5.008
_cell_length_b 5.008
_cell_length_c 20.022
_cell_angle_alpha 90.00
_cell_angle_beta 90.00
_cell_angle_gamma 90.00
_symmetry_space_group_name_H-M 'P 1'
_symmetry_Int_Tables_number 1
_symmetry_space_group_name_Hall 'P 1'
loop_
_atom_site_label
_atom_site_type_symbol
_atom_site_fract_x
_atom_site_fract_y
_atom_site_fract_z
_atom_site_occupancy
Er1 Er 0.500 0.000 0.374 1
Ce1 Ce 0.000 0.000 0.000 1
Er2 Er 0.000 0.500 0.374 1
Er3 Er 0.500 0.500 0.500 1
Er4 Er 0.000 0.500 0.122 1
Er5 Er 0.500 0.000 0.878 1
Er6 Er 0.500 0.000 0.626 1
Er7 Er 0.000 0.500 0.878 1
Er8 Er 0.500 0.000 0.122 1
Nd1 Nd 0.000 0.000 0.500 1
Nd2 Nd 0.000 0.000 0.248 1
Nd3 Nd 0.000 0.000 0.752 1
Er9 Er 0.500 0.500 0.000 1
Er10 Er 0.500 0.500 0.751 1
Er11 Er 0.500 0.500 0.249 1
Er12 Er 0.000 0.500 0.626 1
```

Results
magnetization = 0.91 μB/f.u.
DFT total energy = -4.652 eV per atom
mass density = 8.531 g/cm3